(1)
Entry from the Alexandria database: crystalline CoOsI2 at its relaxed geometry (PBE-GGA).

Cell lengths 4.762, 4.762, 4.762 Å; angles 60.00, 60.00, 60.00 degrees
Site moments in Bohr magnetons follow the coordinates.
Element x y z (fractional)
I 0.250 0.250 0.250  -0.01
I 0.750 0.750 0.750  -0.01
Co 0.000 0.000 0.000  1.35
Os 0.500 0.500 0.500  -0.07

Summary:
ΔE_f (raw)	31.92	kcal/mol of atoms
relative energy among the computed polymorphs	322.6	meV/atom
SG	Fm-3m, No. 225

---

(2)
Entry from the Alexandria database: crystalline Dy2TmTa at its relaxed geometry (PBE-GGA).

Cell lengths 3.260, 3.260, 11.730 Å; angles 82.01, 82.01, 60.00 degrees
Element x y z (fractional)
Tm 0.500 0.500 0.500
Dy 0.084 0.084 0.747
Dy 0.916 0.916 0.253
Ta 0.000 0.000 0.000

Summary:
ΔE_f	0.59	eV/atom
SG	R-3m, No. 166

---

(3)
Entry from the Alexandria database: crystalline Cr3SbBr at its relaxed geometry (PBE-GGA).

Cell lengths 4.455, 4.455, 4.455 Å; angles 90.00, 90.00, 90.00 degrees
Site moments in Bohr magnetons follow the coordinates.
Element x y z (fractional)
Sb 0.500 0.500 0.500  -0.05
Br 0.000 0.000 0.000  -0.05
Cr 0.000 0.500 0.000  1.11
Cr 0.000 0.000 0.500  1.34
Cr 0.500 0.000 0.000  1.27

Summary:
ΔE_f (raw)	28.88	kcal/mol of atoms
relative energy among the computed polymorphs	378.8	meV/atom
SG	Pm-3m, No. 221

---

(4)
Entry from the Alexandria database: crystalline SiPb at its relaxed geometry (PBE-GGA).

Cell lengths 5.155, 5.155, 5.155 Å; angles 60.00, 60.00, 60.00 degrees
Element x y z (fractional)
Pb 0.000 0.000 0.000
Pb 0.750 0.750 0.750
Si 0.500 0.500 0.500
Si 0.250 0.250 0.250

Summary:
ΔE_f (raw)	14.50	kcal/mol of atoms
SG	Fd-3m, No. 227

---

(5)
Entry from the Alexandria database: crystalline POsRuN at its relaxed geometry (PBE-GGA).

Cell lengths 3.258, 2.919, 11.002 Å; angles 90.00, 90.00, 90.00 degrees
Element x y z (fractional)
P 0.500 0.000 0.808
P 0.500 0.500 0.308
Os 0.500 0.000 0.147
Os 0.500 0.500 0.647
Ru 0.000 0.000 0.406
Ru 0.000 0.500 0.906
N 0.000 0.000 0.050
N 0.000 0.500 0.550

Summary:
ΔE_f (raw)	3.90	kcal/mol of atoms
relative energy among the computed polymorphs	120.8	meV/atom
SG	Amm2, No. 38

---

(6)
Entry from the Alexandria database: crystalline TiGaTc2 at its relaxed geometry (PBE-GGA).

Cell lengths 4.363, 4.363, 4.363 Å; angles 60.00, 60.00, 60.00 degrees
Element x y z (fractional)
Tc 0.500 0.500 0.500
Tc 0.000 0.000 0.000
Ga 0.250 0.250 0.250
Ti 0.750 0.750 0.750

Summary:
ΔE_f	-0.27	eV/atom
SG	Fm-3m, No. 225

---

(7)
Entry from the Alexandria database: crystalline Ba5Cl at its relaxed geometry (PBE-GGA).

Cell lengths 8.198, 8.198, 8.198 Å; angles 60.00, 60.00, 60.00 degrees
Site moments in Bohr magnetons follow the coordinates.
Element x y z (fractional)
Ba 0.250 0.250 0.250  0.06
Ba 0.624 0.624 0.624  0.06
Ba 0.624 0.624 0.128  0.06
Ba 0.128 0.624 0.624  0.06
Ba 0.624 0.128 0.624  0.06
Cl 0.000 0.000 0.000  0.00

Summary:
ΔE_f (raw)	0.12	kcal/mol of atoms
relative energy among the computed polymorphs	508.0	meV/atom
SG	F-43m, No. 216

---

(8)
Entry from the Alexandria database: crystalline NdTm3Tl at its relaxed geometry (PBE-GGA).

Cell lengths 6.075, 7.940, 7.940 Å; angles 120.00, 90.00, 90.00 degrees
Element x y z (fractional)
Nd 0.750 0.667 0.333
Nd 0.250 0.333 0.667
Tm 0.750 0.612 0.806
Tm 0.250 0.806 0.612
Tm 0.250 0.388 0.194
Tm 0.750 0.194 0.388
Tm 0.250 0.806 0.194
Tm 0.750 0.194 0.806
Tl 0.000 0.000 0.000
Tl 0.500 0.000 0.000

Summary:
ΔE_f	0.12	eV/atom
relative energy among the computed polymorphs	227.1	meV/atom
SG	P6_3/mmc, No. 194

---

(9)
Entry from the Alexandria database: crystalline EuLu3 at its relaxed geometry (PBE-GGA).

Cell lengths 3.566, 6.198, 6.703 Å; angles 117.54, 105.43, 90.00 degrees
Site moments in Bohr magnetons follow the coordinates.
Element x y z (fractional)
Eu 0.000 0.996 0.000  6.88
Lu 0.243 0.579 0.487  0.06
Lu 0.500 0.500 0.000  0.02
Lu 0.757 0.092 0.513  0.06

Summary:
ΔE_f	0.08	eV/atom
relative energy among the computed polymorphs	0.0	meV/atom
SG	Imm2, No. 44

---

(10)
Entry from the Alexandria database: crystalline CaLa4Bi5 at its relaxed geometry (PBE-GGA).

Cell lengths 4.703, 6.641, 12.423 Å; angles 105.50, 100.91, 90.00 degrees
Element x y z (fractional)
Ca 0.000 0.000 0.000
La 0.402 0.402 0.803
La 0.801 0.801 0.602
La 0.199 0.199 0.398
La 0.598 0.598 0.197
Bi 0.601 0.101 0.201
Bi 0.801 0.301 0.601
Bi 0.199 0.699 0.399
Bi 0.000 0.500 0.000
Bi 0.399 0.899 0.799

Summary:
ΔE_f	-0.96	eV/atom
SG	Immm, No. 71

---

(11)
Entry from the Alexandria database: crystalline Er7Co2Ag2 at its relaxed geometry (PBE-GGA).

Cell lengths 6.572, 6.892, 6.572 Å; angles 90.00, 109.43, 90.00 degrees
Element x y z (fractional)
Er 0.000 0.247 0.500
Er 0.500 0.753 0.000
Er 0.000 0.753 0.500
Er 0.500 0.247 0.000
Er 0.000 0.000 0.000
Er 0.500 0.761 0.500
Er 0.500 0.239 0.500
Co 0.707 0.000 0.293
Co 0.293 0.000 0.707
Ag 0.819 0.500 0.819
Ag 0.181 0.500 0.181

Summary:
ΔE_f	-0.12	eV/atom
relative energy among the computed polymorphs	82.4	meV/atom
SG	Cmmm, No. 65

---

(12)
Entry from the Alexandria database: crystalline Pr3PtI2 at its relaxed geometry (PBE-GGA).

Cell lengths 4.194, 6.298, 8.486 Å; angles 111.78, 104.31, 90.00 degrees
Site moments in Bohr magnetons follow the coordinates.
Element x y z (fractional)
Pr 0.624 0.624 0.249  0.00
Pr 0.000 0.000 0.000  0.11
Pr 0.376 0.376 0.751  0.00
Pt 0.000 0.500 0.000  0.01
I 0.317 0.817 0.634  0.00
I 0.683 0.183 0.366  0.00

Summary:
ΔE_f (raw)	-23.37	kcal/mol of atoms
SG	Immm, No. 71